# Sr2DyCd12Hg3 PBE relaxed
# Calculated formation energy: 24 kJ/mol of formula units
# Total magnetic moment: 0.0 μB per formula unit
# VASP energy: -1.089 eV/atom
# D(E_F): 0.517 states/eV per atom
data_Sr2DyCd12Hg3
_chemical_formula_sum 'Sr2 Dy1 Cd12 Hg3'
_space_group_name_H-M_alt 'P 1'
_space_group_IT_number 1
_space_group_name_Hall 'P 1'
_cell_length_a 10.1996
_cell_length_b 10.1996
_cell_length_c 10.1996
_cell_angle_alpha 49.28
_cell_angle_beta 49.28
_cell_angle_gamma 49.28
loop_
_atom_site_label
_atom_site_fract_x
_atom_site_fract_y
_atom_site_fract_z
Sr1 0.0857 0.0857 0.0857
Sr2 0.9143 0.9143 0.9143
Dy1 0.5000 0.5000 0.5000
Cd1 0.0481 0.6832 0.6832
Cd2 0.2849 0.2849 0.6439
Cd3 0.2849 0.6439 0.2849
Cd4 0.3168 0.3168 0.9519
Cd5 0.3168 0.9519 0.3168
Cd6 0.3561 0.7151 0.7151
Cd7 0.6439 0.2849 0.2849
Cd8 0.6832 0.0481 0.6832
Cd9 0.6832 0.6832 0.0481
Cd10 0.7151 0.3561 0.7151
Cd11 0.7151 0.7151 0.3561
Cd12 0.9519 0.3168 0.3168
Hg1 0.0000 0.5000 0.5000
Hg2 0.5000 0.0000 0.5000
Hg3 0.5000 0.5000 0.0000